[1]
DyMgAlCu, optimized geometry, DFT PBE; total energy = -15.02 eV/f.u.; space-group type = F-43m, No. 216; formation energy from the elements = -0.2451 eV per atom; theoretical density = 5.86 g/cm3; density of states at the Fermi level = 0.486 states/eV/atom; magnetic moment = 0.0 μB/cell
1.0
6.7975 0.0000 0.0000
0.0000 6.7975 0.0000
0.0000 0.0000 6.7975
Dy Mg Al Cu
4 4 4 4
Direct
0.0000 0.0000 0.0000 Dy
0.0000 0.5000 0.5000 Dy
0.5000 0.0000 0.5000 Dy
0.5000 0.5000 0.0000 Dy
0.0000 0.0000 0.5000 Mg
0.0000 0.5000 0.0000 Mg
0.5000 0.0000 0.0000 Mg
0.5000 0.5000 0.5000 Mg
0.2500 0.2500 0.2500 Al
0.2500 0.7500 0.7500 Al
0.7500 0.2500 0.7500 Al
0.7500 0.7500 0.2500 Al
0.2500 0.2500 0.7500 Cu
0.2500 0.7500 0.2500 Cu
0.7500 0.2500 0.2500 Cu
0.7500 0.7500 0.7500 Cu


[2]
Dy2AlCu2Ni5, optimized geometry, DFT PBE; total energy = -53.33 eV/f.u.; space-group type = P4/mbm, No. 127; formation energy from the elements = -0.3287 eV per atom; theoretical density = 8.77 g/cm3; density of states at the Fermi level = 0.435 states/eV/atom; magnetic moment = 0.0 μB/cell
1.0
8.9901 0.0000 0.0000
0.0000 8.9901 0.0000
0.0000 0.0000 3.6206
Dy Al Cu Ni
4 2 4 10
Direct
0.1776 0.3224 0.0000 Dy
0.3224 0.8224 0.0000 Dy
0.6776 0.1776 0.0000 Dy
0.8224 0.6776 0.0000 Dy
0.0000 0.0000 0.0000 Al
0.5000 0.5000 0.0000 Al
0.1200 0.6200 0.0000 Cu
0.3800 0.1200 0.0000 Cu
0.6200 0.8800 0.0000 Cu
0.8800 0.3800 0.0000 Cu
0.0000 0.5000 0.5000 Ni
0.0600 0.7978 0.5000 Ni
0.2022 0.0600 0.5000 Ni
0.2978 0.5600 0.5000 Ni
0.4400 0.2978 0.5000 Ni
0.5000 0.0000 0.5000 Ni
0.5600 0.7022 0.5000 Ni
0.7022 0.4400 0.5000 Ni
0.7978 0.9400 0.5000 Ni
0.9400 0.2022 0.5000 Ni


[3]
Dy2Al4CuNi3, optimized geometry, DFT PBE; total energy = -50.98 eV/f.u.; space-group type = P-4m2, No. 115; formation energy from the elements = -0.5365 eV per atom; theoretical density = 6.69 g/cm3; density of states at the Fermi level = 0.476 states/eV/atom; magnetic moment = 0.0 μB/cell
1.0
4.0016 0.0000 0.0000
0.0000 4.0016 0.0000
0.0000 0.0000 10.4249
Dy Al Cu Ni
2 4 1 3
Direct
0.0000 0.5000 0.2439 Dy
0.5000 0.0000 0.7561 Dy
0.0000 0.0000 0.0000 Al
0.0000 0.5000 0.6311 Al
0.5000 0.0000 0.3689 Al
0.5000 0.5000 0.0000 Al
0.0000 0.0000 0.5000 Cu
0.0000 0.5000 0.8632 Ni
0.5000 0.0000 0.1368 Ni
0.5000 0.5000 0.5000 Ni


[4]
Dy2Al2CuNi5, optimized geometry, DFT PBE; total energy = -52.37 eV/f.u.; space-group type = P4/mbm, No. 127; formation energy from the elements = -0.2676 eV per atom; theoretical density = 8.08 g/cm3; density of states at the Fermi level = 0.614 states/eV/atom; magnetic moment = 0.0 μB/cell
1.0
9.7568 0.0000 0.0000
0.0000 9.7568 0.0000
0.0000 0.0000 3.1789
Dy Al Cu Ni
4 4 2 10
Direct
0.1742 0.3258 0.0000 Dy
0.3258 0.8258 0.0000 Dy
0.6742 0.1742 0.0000 Dy
0.8258 0.6742 0.0000 Dy
0.1260 0.6260 0.0000 Al
0.3740 0.1260 0.0000 Al
0.6260 0.8740 0.0000 Al
0.8740 0.3740 0.0000 Al
0.0000 0.0000 0.0000 Cu
0.5000 0.5000 0.0000 Cu
0.0000 0.5000 0.5000 Ni
0.0541 0.8054 0.5000 Ni
0.1946 0.0541 0.5000 Ni
0.3054 0.5541 0.5000 Ni
0.4459 0.3054 0.5000 Ni
0.5000 0.0000 0.5000 Ni
0.5541 0.6946 0.5000 Ni
0.6946 0.4459 0.5000 Ni
0.8054 0.9459 0.5000 Ni
0.9459 0.1946 0.5000 Ni


[5]
DyAlCuNi, optimized geometry, DFT PBE; total energy = -20.08 eV/f.u.; space-group type = Cm, No. 8; formation energy from the elements = -0.4637 eV per atom; theoretical density = 7.49 g/cm3; density of states at the Fermi level = 0.654 states/eV/atom; magnetic moment = 0.0 μB/cell
1.0
7.3232 0.0000 0.0000
0.0000 4.2193 0.0000
-2.4349 0.0000 4.4759
Dy Al Cu Ni
2 2 2 2
Direct
0.0000 0.0000 0.0000 Dy
0.5000 0.5000 0.0000 Dy
0.4911 0.0000 0.4737 Al
0.9911 0.5000 0.4737 Al
0.2061 0.0000 0.6186 Cu
0.7061 0.5000 0.6186 Cu
0.2963 0.5000 0.3894 Ni
0.7963 0.0000 0.3894 Ni


[6]
Dy2Al4Cu3Ni, optimized geometry, DFT PBE; total energy = -46.73 eV/f.u.; space-group type = P-4m2, No. 115; formation energy from the elements = -0.4482 eV per atom; theoretical density = 6.60 g/cm3; density of states at the Fermi level = 0.589 states/eV/atom; magnetic moment = 0.0 μB/cell
1.0
4.1162 0.0000 0.0000
0.0000 4.1162 0.0000
0.0000 0.0000 10.1315
Dy Al Cu Ni
2 4 3 1
Direct
0.0000 0.5000 0.2428 Dy
0.5000 0.0000 0.7572 Dy
0.0000 0.0000 0.5000 Al
0.0000 0.5000 0.8772 Al
0.5000 0.0000 0.1228 Al
0.5000 0.5000 0.5000 Al
0.0000 0.0000 0.0000 Cu
0.0000 0.5000 0.6381 Cu
0.5000 0.0000 0.3619 Cu
0.5000 0.5000 0.0000 Ni


[7]
Dy2AlCu12Ni3, optimized geometry, DFT PBE; total energy = -79.75 eV/f.u.; space-group type = R-3m, No. 166; formation energy from the elements = -0.0167 eV per atom; theoretical density = 8.50 g/cm3; density of states at the Fermi level = 0.433 states/eV/atom; magnetic moment = 0.0 μB/cell
1.0
4.2136 2.4327 4.1000
-4.2136 2.4327 4.1000
0.0000 -4.8655 4.1000
Dy Al Cu Ni
2 1 12 3
Direct
0.2439 0.2439 0.2439 Dy
0.7561 0.7561 0.7561 Dy
0.5000 0.5000 0.5000 Al
0.0758 0.0758 0.6496 Cu
0.0758 0.6496 0.0758 Cu
0.2237 0.6995 0.6995 Cu
0.3005 0.3005 0.7763 Cu
0.3005 0.7763 0.3005 Cu
0.3504 0.9242 0.9242 Cu
0.6496 0.0758 0.0758 Cu
0.6995 0.2237 0.6995 Cu
0.6995 0.6995 0.2237 Cu
0.7763 0.3005 0.3005 Cu
0.9242 0.3504 0.9242 Cu
0.9242 0.9242 0.3504 Cu
0.0000 0.5000 0.5000 Ni
0.5000 0.0000 0.5000 Ni
0.5000 0.5000 0.0000 Ni


[8]
DyAl4Cu2Os, optimized geometry, DFT PBE; total energy = -41.42 eV/f.u.; space-group type = R-3m, No. 166; formation energy from the elements = -0.3030 eV per atom; theoretical density = 7.22 g/cm3; density of states at the Fermi level = 0.371 states/eV/atom; magnetic moment = 0.0 μB/cell
1.0
2.0858 1.2043 8.9686
-2.0858 1.2043 8.9686
0.0000 -2.4085 8.9686
Dy Al Cu Os
1 4 2 1
Direct
0.0000 0.0000 0.0000 Dy
0.1332 0.1332 0.1332 Al
0.4043 0.4043 0.4043 Al
0.5957 0.5957 0.5957 Al
0.8668 0.8668 0.8668 Al
0.2326 0.2326 0.2326 Cu
0.7674 0.7674 0.7674 Cu
0.5000 0.5000 0.5000 Os